Record 1
DFT (PBE) results for a relaxed structure of NdErPd6.

```
NdErPd6
1.0
-0.282 3.413 -2.370
-4.115 -0.557 -0.312
-1.137 4.608 6.769
Pd Nd Er
6 1 1
direct
0.500 0.500 0.500
0.500 0.500 0.000
0.000 0.500 0.258
0.000 0.500 0.742
0.500 0.000 0.258
0.500 0.000 0.742
0.000 0.000 0.000
0.000 0.000 0.500
```

Calculated values
The energy of formation comes out at -829.7 meV/atom. The value obtained for the density of states at the Fermi level is 5.664 states/eV/cell.

***

Record 2
DFT (PBE) results for a relaxed structure of KAcGaO4.

```
KAcGaO4
1.0
6.381 0.000 0.269
0.000 4.878 0.000
-2.193 0.000 8.055
O K Ga Ac
8 2 2 2
direct
0.013 0.015 0.287
0.013 0.485 0.287
0.434 0.750 0.175
0.627 0.250 0.482
0.566 0.250 0.825
0.987 0.515 0.713
0.987 0.985 0.713
0.373 0.750 0.518
0.279 0.250 0.025
0.721 0.750 0.975
0.228 0.750 0.293
0.772 0.250 0.707
0.737 0.750 0.428
0.263 0.250 0.572
```

Calculated values
The uncorrected formation energy comes out at -2061 meV/atom. The value obtained for the density of states at the Fermi level is 2.654 states/eV/cell.

***

Record 3
DFT (PBE) results for a relaxed structure of ZrTi3H8.

```
ZrTi3H8
1.0
4.000 0.000 -1.790
-0.801 3.919 -1.790
0.139 0.171 5.678
H Ti Zr
8 3 1
direct
0.609 0.609 0.738
0.129 0.129 0.738
0.609 0.129 0.738
0.871 0.871 0.262
0.871 0.391 0.262
0.391 0.391 0.262
0.391 0.871 0.262
0.129 0.609 0.738
0.500 0.500 0.000
0.250 0.750 0.500
0.750 0.250 0.500
0.000 0.000 0.000
```

Calculated values
The value obtained for the energy is -5.433 eV/atom. The value obtained for the density of states at the Fermi level is 3.894 states/eV/cell.

***

Record 4
DFT (PBE) results for a relaxed structure of Cu3OF5.

```
Cu3OF5
1.0
-8.311 -4.731 -0.598
0.899 -2.085 4.013
-2.350 3.243 2.212
F Cu O
10 6 2
direct
0.156 0.246 0.776
0.483 0.191 0.806
0.011 0.721 0.699
0.844 0.784 0.217
0.833 0.176 0.802
0.983 0.309 0.306
0.333 0.324 0.302
0.656 0.254 0.276
0.344 0.716 0.717
0.511 0.779 0.199
0.326 0.005 0.016
0.826 0.495 0.516
0.509 0.498 0.514
0.669 0.958 0.975
0.169 0.542 0.475
0.009 0.002 0.014
0.668 0.663 0.696
0.168 0.837 0.196
```

Calculated values
The uncorrected formation energy comes out at -1279 meV/atom. The value obtained for the density of states at the Fermi level is 10.866 states/eV/cell.

***

Record 5
DFT (PBE) results for a relaxed structure of Ac8Pd5Au.

```
Ac8Pd5Au
1.0
0.641 2.189 -7.996
7.580 -1.659 2.990
-4.766 -6.774 0.736
Ac Au Pd
8 1 5
direct
0.236 0.246 0.366
0.634 0.870 0.880
0.127 0.752 0.486
0.514 0.641 0.266
0.734 0.248 0.375
0.010 0.130 0.764
0.625 0.359 0.873
0.120 0.754 0.990
0.250 0.500 0.750
0.500 0.000 0.500
0.746 0.620 0.624
0.004 0.380 0.125
0.875 0.879 0.254
0.376 0.121 0.996
```

Calculated values
The energy of formation comes out at -677.8 meV/atom. The value obtained for the density of states at the Fermi level is 11.799 states/eV/cell.

***

Record 6
DFT (PBE) results for a relaxed structure of CsSBr2.

```
CsSBr2
1.0
4.380 0.000 -0.002
0.000 6.432 0.000
-3.018 0.000 10.089
Br Cs S
4 2 2
direct
0.764 0.000 0.823
0.236 0.000 0.177
0.764 0.500 0.323
0.236 0.500 0.677
0.000 0.000 0.500
0.000 0.500 0.000
0.500 0.000 0.000
0.500 0.500 0.500
```

Calculated values
The uncorrected formation energy comes out at -614 meV/atom. The value obtained for the density of states at the Fermi level is 5.246 states/eV/cell.

***

Record 7
DFT (PBE) results for a relaxed structure of CaHoZr.

```
CaHoZr
1.0
3.441 0.045 0.078
-0.057 5.340 -0.568
-0.174 -4.295 10.420
Zr Ho Ca
2 2 2
direct
0.750 0.703 0.953
0.250 0.297 0.047
0.751 0.023 0.773
0.249 0.977 0.227
0.749 0.639 0.389
0.251 0.361 0.611
```

Calculated values
The energy of formation comes out at 129.0 meV/atom. The value obtained for the density of states at the Fermi level is 7.482 states/eV/cell.

***

Record 8
DFT (PBE) results for a relaxed structure of CuIrOs.

```
CuIrOs
1.0
4.233 0.000 0.000
-2.117 3.666 0.000
0.000 0.000 2.669
Cu Os Ir
1 1 1
direct
0.000 0.000 0.149
0.333 0.667 0.676
0.667 0.333 0.175
```

Calculated values
The energy of formation comes out at 359.7 meV/atom. The value obtained for the density of states at the Fermi level is 3.125 states/eV/cell.

***

Repeat the fourth record exactly.
DFT (PBE) results for a relaxed structure of Cu3OF5.

```
Cu3OF5
1.0
-8.311 -4.731 -0.598
0.899 -2.085 4.013
-2.350 3.243 2.212
F Cu O
10 6 2
direct
0.156 0.246 0.776
0.483 0.191 0.806
0.011 0.721 0.699
0.844 0.784 0.217
0.833 0.176 0.802
0.983 0.309 0.306
0.333 0.324 0.302
0.656 0.254 0.276
0.344 0.716 0.717
0.511 0.779 0.199
0.326 0.005 0.016
0.826 0.495 0.516
0.509 0.498 0.514
0.669 0.958 0.975
0.169 0.542 0.475
0.009 0.002 0.014
0.668 0.663 0.696
0.168 0.837 0.196
```

Calculated values
The uncorrected formation energy comes out at -1279 meV/atom. The value obtained for the density of states at the Fermi level is 10.866 states/eV/cell.